# 1
12
Lattice="2.111 -6.612 0.000 2.111 6.612 0.000 0.000 0.000 6.916" Properties=species:S:1:pos:R:3 comment="Li2AlAg3 | Alexandria via LeMat-Bulk | GGA-PBE | optimized geometry" de_polymorph_ev_per_fu=0.00 ef_kj_per_mol_fu=-113 n_ef_per_ev_cell=3.1 space_group="Cmmm, No. 65" pbc="T T T"
Li 0.000 0.000 0.000
Li 0.000 0.000 3.458
Li 2.111 2.176 0.000
Li 2.111 -2.176 0.000
Al 2.111 2.222 3.458
Al 2.111 -2.222 3.458
Ag 2.111 4.417 1.719
Ag 2.111 4.417 5.197
Ag 2.111 0.000 1.786
Ag 2.111 0.000 5.130
Ag 2.111 -4.417 1.719
Ag 2.111 -4.417 5.197

# 2
9
Lattice="-2.313 2.617 6.255 2.313 -2.617 6.255 2.313 2.617 -6.255" Properties=species:S:1:pos:R:3 comment="Li6Al2Ag | Alexandria via LeMat-Bulk | GGA-PBE | optimized geometry" de_polymorph_ev_per_fu=1.01 ef_kj_per_mol_fu=-51 n_ef_per_ev_cell=2.5 space_group="Immm, No. 71" pbc="T T T"
Li 2.313 1.238 -1.256
Li 0.000 0.000 2.727
Li 2.313 1.238 1.256
Li 0.000 1.379 4.999
Li 0.000 0.000 9.783
Li 0.000 1.379 7.511
Al 2.313 0.000 4.876
Al 0.000 2.617 1.379
Ag 0.000 0.000 0.000

# 3
13
Lattice="2.716 1.568 9.575 -2.716 1.568 9.575 0.000 -3.136 9.575" Properties=species:S:1:pos:R:3 comment="Li2Al3Ag8 | Alexandria via LeMat-Bulk | GGA-PBE | optimized geometry" ef_kj_per_mol_fu=111 n_ef_per_ev_cell=5.6 space_group="R-3m, No. 166" pbc="T T T"
Li 0.000 0.000 3.845
Li 0.000 0.000 24.881
Al 0.000 0.000 8.936
Al 0.000 0.000 14.363
Al 0.000 0.000 19.790
Ag 0.000 0.000 6.377
Ag 0.000 -1.570 11.179
Ag -1.359 0.785 11.179
Ag -1.359 -0.785 17.547
Ag 1.359 0.785 11.179
Ag 1.359 -0.785 17.547
Ag 0.000 1.570 17.547
Ag 0.000 0.000 22.349

# 4
16
Lattice="2.256 -4.729 0.000 2.256 4.729 0.000 0.000 0.000 13.137" Properties=species:S:1:pos:R:3 comment="Li2AlAg5 | Alexandria via LeMat-Bulk | GGA-PBE | optimized geometry" de_polymorph_ev_per_fu=0.57 ef_kj_per_mol_fu=-78 n_ef_per_ev_cell=3.5 space_group="Cmcm, No. 63" pbc="T T T"
Li 2.256 2.534 8.034
Li 2.256 2.534 11.672
Li 2.256 -2.534 1.465
Li 2.256 -2.534 5.103
Al 2.256 2.368 3.284
Al 2.256 -2.368 9.853
Ag 2.256 3.909 1.159
Ag 2.256 3.909 5.409
Ag 2.256 1.019 0.917
Ag 2.256 1.019 5.651
Ag 2.256 0.551 9.853
Ag 2.256 -0.551 3.284
Ag 2.256 -1.019 7.486
Ag 2.256 -1.019 12.220
Ag 2.256 -3.909 7.728
Ag 2.256 -3.909 11.978

# 5
8
Lattice="3.795 2.191 3.274 -3.795 2.191 3.274 0.000 -4.382 3.274" Properties=species:S:1:pos:R:3 comment="LiAlAg6 | Alexandria via LeMat-Bulk | GGA-PBE | optimized geometry" de_polymorph_ev_per_fu=2.32 ef_kj_per_mol_fu=152 n_ef_per_ev_cell=3.5 space_group="R-3m, No. 166" pbc="T T T"
Li 0.000 0.000 0.000
Al 0.000 0.000 4.911
Ag 0.000 -1.647 2.893
Ag -1.427 0.824 2.893
Ag -1.427 -0.824 6.928
Ag 1.427 0.824 2.893
Ag 1.427 -0.824 6.928
Ag 0.000 1.647 6.928

# 6
10
Lattice="7.904 0.000 0.000 0.000 7.904 0.000 0.000 0.000 2.828" Properties=species:S:1:pos:R:3 comment="LiAl2Ag2 | Alexandria via LeMat-Bulk | GGA-PBE | optimized geometry" de_polymorph_ev_per_fu=0.10 ef_kj_per_mol_fu=-54 n_ef_per_ev_cell=1.7 space_group="P4/mbm, No. 127" pbc="T T T"
Li 0.000 0.000 0.000
Li 3.952 3.952 0.000
Al 1.003 2.949 1.414
Al 2.949 6.901 1.414
Al 4.955 1.003 1.414
Al 6.901 4.955 1.414
Ag 1.361 5.313 0.000
Ag 2.591 1.361 0.000
Ag 5.313 6.543 0.000
Ag 6.543 2.591 0.000

no.,size of the total moment (μB per formula unit)
1,0.00
2,0.00
3,0.00
4,0.00
5,0.00
6,0.00